No. 1
{
  "formula": "Y2NbTl2",
  "functional": "PBE",
  "state": "relaxed",
  "lattice": [[-2.142, 2.142, 7.169], [2.142, -2.142, 7.169], [2.142, 2.142, -7.169]],
  "species": ["Y", "Y", "Nb", "Tl", "Tl"],
  "frac_coords": [[0.250, 0.750, 0.500], [0.750, 0.250, 0.500], [0.000, 0.000, 0.000], [0.405, 0.405, 0.000], [0.595, 0.595, 0.000]],
  "e_above_lowest_polymorph_ev_per_atom": 0.527,
  "total_energy_ev_per_atom": -4.983,
  "formation_enthalpy_0k_ev_per_atom": 0.563,
  "n_ef_per_ev_cell": 5.99
}

No. 2
{
  "formula": "YNbTl2",
  "functional": "PBE",
  "state": "relaxed",
  "lattice": [[-2.247, 2.247, 10.698], [2.247, -2.247, 10.698], [2.247, 2.247, -10.698]],
  "species": ["Y", "Y", "Nb", "Nb", "Tl", "Tl", "Tl", "Tl"],
  "frac_coords": [[0.000, 0.000, 0.000], [0.750, 0.250, 0.500], [0.250, 0.750, 0.500], [0.500, 0.500, 0.000], [0.152, 0.625, 0.027], [0.375, 0.402, 0.527], [0.598, 0.125, 0.973], [0.875, 0.848, 0.473]],
  "total_energy_ev_per_atom": -4.791,
  "formation_enthalpy_0k_ev_per_atom": 0.525,
  "n_ef_per_ev_cell": 8.56
}

No. 3
{
  "formula": "Y2NbTl2",
  "functional": "PBE",
  "state": "relaxed",
  "lattice": [[7.823, 0.000, 0.000], [0.000, 7.823, 0.000], [0.000, 0.000, 4.313]],
  "species": ["Y", "Y", "Y", "Y", "Nb", "Nb", "Tl", "Tl", "Tl", "Tl"],
  "frac_coords": [[0.173, 0.327, 0.000], [0.327, 0.827, 0.000], [0.673, 0.173, 0.000], [0.827, 0.673, 0.000], [0.000, 0.000, 0.500], [0.500, 0.500, 0.500], [0.136, 0.636, 0.500], [0.364, 0.136, 0.500], [0.636, 0.864, 0.500], [0.864, 0.364, 0.500]],
  "e_above_lowest_polymorph_ev_per_atom": 0.000,
  "total_energy_ev_per_atom": -5.510,
  "formation_enthalpy_0k_ev_per_atom": 0.036,
  "n_ef_per_ev_cell": 12.63
}

No. 4
{
  "formula": "YNbTl3",
  "functional": "PBE",
  "state": "relaxed",
  "lattice": [[5.391, 0.000, 0.000], [0.000, 5.391, 0.000], [0.000, 0.000, 5.391]],
  "species": ["Y", "Nb", "Tl", "Tl", "Tl"],
  "frac_coords": [[0.000, 0.000, 0.000], [0.500, 0.500, 0.500], [0.000, 0.500, 0.500], [0.500, 0.000, 0.500], [0.500, 0.500, 0.000]],
  "e_above_lowest_polymorph_ev_per_atom": 0.000,
  "total_energy_ev_per_atom": -4.238,
  "formation_enthalpy_0k_ev_per_atom": 0.489,
  "n_ef_per_ev_cell": 2.98
}

No. 5
{
  "formula": "YNbTlZn2",
  "functional": "PBE",
  "state": "relaxed",
  "lattice": [[4.935, 0.000, 0.000], [0.000, 4.935, 0.000], [0.000, 0.000, 5.765]],
  "species": ["Y", "Nb", "Tl", "Zn", "Zn"],
  "frac_coords": [[0.000, 0.000, 0.000], [0.500, 0.500, 0.000], [0.000, 0.000, 0.500], [0.000, 0.500, 0.500], [0.500, 0.000, 0.500]],
  "total_energy_ev_per_atom": -3.159,
  "formation_enthalpy_0k_ev_per_atom": 1.130,
  "n_ef_per_ev_cell": 5.63
}

No. 6
{
  "formula": "NbTlZn3",
  "functional": "PBE",
  "state": "relaxed",
  "lattice": [[5.184, 0.000, 0.000], [0.000, 5.184, 0.000], [0.000, 0.000, 5.184]],
  "species": ["Nb", "Tl", "Zn", "Zn", "Zn"],
  "frac_coords": [[0.000, 0.000, 0.000], [0.500, 0.500, 0.500], [0.000, 0.000, 0.500], [0.000, 0.500, 0.000], [0.500, 0.000, 0.000]],
  "e_above_lowest_polymorph_ev_per_atom": 0.000,
  "total_energy_ev_per_atom": -2.406,
  "formation_enthalpy_0k_ev_per_atom": 0.845,
  "n_ef_per_ev_cell": 5.71
}

No. 7
{
  "formula": "ZrNb2Tl",
  "functional": "PBE",
  "state": "relaxed",
  "lattice": [[0.000, 3.433, 3.433], [3.433, 0.000, 3.433], [3.433, 3.433, 0.000]],
  "species": ["Zr", "Nb", "Nb", "Tl"],
  "frac_coords": [[0.000, 0.000, 0.000], [0.250, 0.250, 0.250], [0.750, 0.750, 0.750], [0.500, 0.500, 0.500]],
  "e_above_lowest_polymorph_ev_per_atom": 0.210,
  "total_energy_ev_per_atom": -7.438,
  "formation_enthalpy_0k_ev_per_atom": 0.326,
  "n_ef_per_ev_cell": 6.85
}

No. 8
{
  "formula": "Zr2NbTl",
  "functional": "PBE",
  "state": "relaxed",
  "lattice": [[1.640, 0.947, 9.724], [-1.640, 0.947, 9.724], [0.000, -1.893, 9.724]],
  "species": ["Zr", "Zr", "Nb", "Tl"],
  "frac_coords": [[0.245, 0.245, 0.245], [0.755, 0.755, 0.755], [0.500, 0.500, 0.500], [0.000, 0.000, 0.000]],
  "e_above_lowest_polymorph_ev_per_atom": 0.171,
  "total_energy_ev_per_atom": -7.270,
  "formation_enthalpy_0k_ev_per_atom": 0.113,
  "n_ef_per_ev_cell": 5.06
}

No. 9
{
  "formula": "Zr2NbTl",
  "functional": "PBE",
  "state": "relaxed",
  "lattice": [[4.646, 0.000, 0.000], [0.000, 4.646, 0.000], [0.000, 0.000, 3.954]],
  "species": ["Zr", "Zr", "Nb", "Tl"],
  "frac_coords": [[0.000, 0.500, 0.000], [0.500, 0.000, 0.000], [0.000, 0.000, 0.500], [0.500, 0.500, 0.500]],
  "e_above_lowest_polymorph_ev_per_atom": 0.059,
  "total_energy_ev_per_atom": -7.382,
  "formation_enthalpy_0k_ev_per_atom": 0.001,
  "n_ef_per_ev_cell": 5.81
}

No. 10
{
  "formula": "ZrNbTl",
  "functional": "PBE",
  "state": "relaxed",
  "lattice": [[3.404, 0.000, 0.000], [0.000, 3.404, 0.000], [0.000, 0.000, 11.716]],
  "species": ["Zr", "Zr", "Nb", "Nb", "Tl", "Tl"],
  "frac_coords": [[0.250, 0.250, 0.214], [0.750, 0.750, 0.786], [0.250, 0.250, 0.937], [0.750, 0.750, 0.063], [0.250, 0.250, 0.601], [0.750, 0.750, 0.399]],
  "total_energy_ev_per_atom": -6.947,
  "formation_enthalpy_0k_ev_per_atom": 0.047,
  "n_ef_per_ev_cell": 4.68
}

No. 11
{
  "formula": "Zr4NbTl3",
  "functional": "PBE",
  "state": "relaxed",
  "lattice": [[-2.426, 2.426, 7.544], [2.426, -2.426, 7.544], [2.426, 2.426, -7.544]],
  "species": ["Zr", "Zr", "Zr", "Zr", "Nb", "Tl", "Tl", "Tl"],
  "frac_coords": [[0.119, 0.619, 0.500], [0.381, 0.881, 0.500], [0.619, 0.119, 0.500], [0.881, 0.381, 0.500], [0.000, 0.000, 0.000], [0.245, 0.245, 0.000], [0.500, 0.500, 0.000], [0.755, 0.755, 0.000]],
  "total_energy_ev_per_atom": -6.473,
  "formation_enthalpy_0k_ev_per_atom": -0.053,
  "n_ef_per_ev_cell": 3.55
}

No. 12
{
  "formula": "ZrNb3Tl",
  "functional": "PBE",
  "state": "relaxed",
  "lattice": [[5.088, 0.000, 0.000], [0.000, 5.088, 0.000], [0.000, 0.000, 5.088]],
  "species": ["Zr", "Nb", "Nb", "Nb", "Tl"],
  "frac_coords": [[0.000, 0.000, 0.000], [0.000, 0.500, 0.500], [0.500, 0.000, 0.500], [0.500, 0.500, 0.000], [0.500, 0.500, 0.500]],
  "e_above_lowest_polymorph_ev_per_atom": 0.336,
  "total_energy_ev_per_atom": -6.376,
  "formation_enthalpy_0k_ev_per_atom": 1.849,
  "n_ef_per_ev_cell": 8.75
}

> What is the formula in the ninth record?

Zr2NbTl

> Number 10 is which compound?

ZrNbTl

Copy entry 10 word for word.
{
  "formula": "ZrNbTl",
  "functional": "PBE",
  "state": "relaxed",
  "lattice": [[3.404, 0.000, 0.000], [0.000, 3.404, 0.000], [0.000, 0.000, 11.716]],
  "species": ["Zr", "Zr", "Nb", "Nb", "Tl", "Tl"],
  "frac_coords": [[0.250, 0.250, 0.214], [0.750, 0.750, 0.786], [0.250, 0.250, 0.937], [0.750, 0.750, 0.063], [0.250, 0.250, 0.601], [0.750, 0.750, 0.399]],
  "total_energy_ev_per_atom": -6.947,
  "formation_enthalpy_0k_ev_per_atom": 0.047,
  "n_ef_per_ev_cell": 4.68
}